Compound: Zr2FeTc
Source: the Alexandria database
Functional: GGA-PBE
Structure: optimized geometry

Computed properties:
E_form	0.132	eV/atom
space group	Pmm2, No. 25
uncorrected energy	-35.40	eV for the cell shown
magnetic moment	1.22	Bohr magnetons per cell
DOS(E_F)	4.22	states/eV/cell

POSCAR file:
```
Zr2FeTc
1.0
3.221 0.000 0.000
0.000 4.097 0.000
0.000 0.000 5.490
Fe Tc Zr
1 1 2
Cartesian
0.000 0.000 2.548
1.611 2.049 4.318
0.000 0.000 5.200
1.611 2.049 1.660
```